{"formula": "ErLuInSn", "functional": "PBE", "state": "relaxed", "crystal_system": "cubic", "space_group": "No. 216", "formation_energy_ev_per_atom": -0.447, "lattice": [[5.2733, 0.0000, 0.0000], [2.6366, 4.5668, 0.0000], [2.6366, 1.5223, 4.3056]], "species": ["Lu", "Er", "In", "Sn"], "fractional_positions": [[0.5000, 0.5000, 0.5000], [0.0000, 0.0000, 0.0000], [0.7500, 0.7500, 0.7500], [0.2500, 0.2500, 0.2500]]}



{"formula": "TbErLuIn", "functional": "PBE", "state": "relaxed", "crystal_system": "cubic", "space_group": "No. 216", "formation_energy_ev_per_atom": -0.139, "lattice": [[5.4042, 0.0000, 0.0000], [2.7021, 4.6802, 0.0000], [2.7021, 1.5601, 4.4125]], "species": ["Lu", "In", "Tb", "Er"], "fractional_positions": [[0.7500, 0.7500, 0.7500], [0.2500, 0.2500, 0.2500], [0.0000, 0.0000, 0.0000], [0.5000, 0.5000, 0.5000]]}



{"formula": "ErLuTiIn", "functional": "PBE", "state": "relaxed", "crystal_system": "cubic", "space_group": "No. 216", "formation_energy_ev_per_atom": -0.091, "lattice": [[5.1845, 0.0000, 0.0000], [2.5923, 4.4899, 0.0000], [2.5923, 1.4966, 4.2332]], "species": ["Ti", "Er", "In", "Lu"], "fractional_positions": [[0.2500, 0.2500, 0.2500], [0.0000, 0.0000, 0.0000], [0.7500, 0.7500, 0.7500], [0.5000, 0.5000, 0.5000]]}



{"formula": "ErTmLuIn", "functional": "PBE", "state": "relaxed", "crystal_system": "cubic", "space_group": "No. 216", "formation_energy_ev_per_atom": -0.126, "lattice": [[-3.3570, 2.1866, -3.5798], [-0.1830, -1.9015, -5.0216], [-4.3013, -2.7482, -1.6768]], "species": ["Er", "In", "Tm", "Lu"], "fractional_positions": [[0.5000, 0.5000, 0.5000], [0.2500, 0.2500, 0.2500], [0.0000, 0.0000, 0.0000], [0.7500, 0.7500, 0.7500]]}



{"formula": "ErMgIn", "functional": "PBE", "state": "relaxed", "crystal_system": "cubic", "space_group": "No. 216", "formation_energy_ev_per_atom": -0.174, "lattice": [[-1.2066, -4.1868, -2.3484], [1.2296, -4.3774, 1.9561], [-3.5103, -2.9552, 1.8559]], "species": ["Mg", "Er", "In"], "fractional_positions": [[0.5000, 0.5000, 0.5000], [0.0000, 0.0000, 0.0000], [0.2500, 0.2500, 0.2500]]}



{"formula": "ErMgIn2", "functional": "PBE", "state": "relaxed", "crystal_system": "trigonal", "space_group": "No. 166", "formation_energy_ev_per_atom": -0.147, "lattice": [[-2.6865, -1.0912, -1.7894], [0.1496, -2.9749, -1.6544], [-4.4177, -6.1397, 7.1324]], "species": ["In", "Er", "In", "Mg"], "fractional_positions": [[0.2535, 0.2535, 0.2395], [0.5000, 0.5000, 0.5000], [0.7465, 0.7465, 0.7605], [0.0000, 0.0000, 0.0000]]}